Entry 1:
Compound: Rb2Tb4Cu4Te9
Source: OQMD via LeMat-Bulk
Functional: PBE
Structure: relaxed

Geometry as CIF:
```
data_Rb2Tb4Cu4Te9
_cell_length_a 8.021
_cell_length_b 8.021
_cell_length_c 17.701
_cell_angle_alpha 107.63
_cell_angle_beta 107.63
_cell_angle_gamma 31.81
_symmetry_space_group_name_H-M 'P 1'
_symmetry_Int_Tables_number 1
loop_
_symmetry_equiv_pos_as_xyz
'x,y,z'
loop_
_atom_site_label
_atom_site_fract_x
_atom_site_fract_y
_atom_site_fract_z
Cu1 0.744 0.744 0.234
Cu2 0.079 0.079 0.477
Cu3 0.921 0.921 0.523
Cu4 0.256 0.256 0.766
Rb1 0.466 0.466 0.227
Rb2 0.534 0.534 0.773
Tb1 0.155 0.155 0.057
Tb2 0.272 0.272 0.400
Tb3 0.728 0.728 0.600
Tb4 0.845 0.845 0.943
Te1 0.500 0.500 0.000
Te2 0.800 0.800 0.104
Te3 0.149 0.149 0.227
Te4 0.898 0.898 0.370
Te5 0.633 0.633 0.421
Te6 0.367 0.367 0.579
Te7 0.102 0.102 0.630
Te8 0.851 0.851 0.773
Te9 0.200 0.200 0.896
```

## Properties
- ρ (g cm⁻³) = 6.4
- space group = C2/m (12)
- final energy (eV for the cell shown) = -82.08

=====

Entry 2:
Compound: RbCuTc
Source: OQMD via LeMat-Bulk
Functional: PBE
Structure: relaxed

Geometry as CIF:
```
data_RbCuTc
_cell_length_a 4.951
_cell_length_b 4.951
_cell_length_c 4.951
_cell_angle_alpha 60.00
_cell_angle_beta 60.00
_cell_angle_gamma 60.00
_symmetry_space_group_name_H-M 'P 1'
_symmetry_Int_Tables_number 1
loop_
_symmetry_equiv_pos_as_xyz
'x,y,z'
loop_
_atom_site_label
_atom_site_fract_x
_atom_site_fract_y
_atom_site_fract_z
Cu1 0.250 0.250 0.250
Rb1 0.000 0.000 0.000
Tc1 0.750 0.750 0.750
```

## Properties
- ρ (g cm⁻³) = 4.8
- distance to the lowest polymorph of the same formula (eV per atom) = 0.5565
- space group = F-43m (216)

=====

Entry 3:
Compound: RbCuTc
Source: OQMD via LeMat-Bulk
Functional: PBE
Structure: relaxed

Geometry as CIF:
```
data_RbCuTc
_cell_length_a 4.914
_cell_length_b 4.914
_cell_length_c 4.914
_cell_angle_alpha 60.00
_cell_angle_beta 60.00
_cell_angle_gamma 60.00
_symmetry_space_group_name_H-M 'P 1'
_symmetry_Int_Tables_number 1
loop_
_symmetry_equiv_pos_as_xyz
'x,y,z'
loop_
_atom_site_label
_atom_site_fract_x
_atom_site_fract_y
_atom_site_fract_z
Cu1 0.000 0.000 0.000
Rb1 0.250 0.250 0.250
Tc1 0.750 0.750 0.750
```

## Properties
- ρ (g cm⁻³) = 4.9
- distance to the lowest polymorph of the same formula (eV per atom) = 0.0000
- space group = F-43m (216)

=====

Which of these has the lowest ρ? number 2